# GdCoSeO

Crystalline GdCoSeO at its relaxed geometry (PBE with a Hubbard U, OQMD).

Structure (POSCAR):
```
GdCoSeO
1.0
1.9619 1.1327 12.7723
-1.9619 1.1327 12.7723
0.0000 -2.2654 12.7723
Gd Co Se O
2 2 2 2
direct
0.2461 0.2461 0.2461
0.7539 0.7539 0.7539
0.3578 0.3578 0.3578
0.6422 0.6422 0.6422
0.1270 0.1270 0.1270
0.8730 0.8730 0.8730
0.3039 0.3039 0.3039
0.6961 0.6961 0.6961
```

Values from the calculation:
Space-group type   No. 166
VASP energy   -5.6500 eV/atom